P | Here is crystalline CuMo2Br at its relaxed geometry from Alexandria. Energies are from PBE.

Computed properties:
total magnetization = 0.00 μB/cell
space group = P4/mmm

abc: 3.7587 3.7587 4.6731
angles: 90.00 90.00 90.00
Element x y z (fractional)
1 Cu 0.0000 0.0000 0.0000
2 Mo 0.0000 0.5000 0.5000
3 Mo 0.5000 0.0000 0.5000
4 Br 0.5000 0.5000 0.0000

Q | Here is crystalline CuMo2Br at its relaxed geometry from Alexandria. Energies are from PBE.

Computed properties:
total magnetization = 0.00 μB/cell
space group = R-3m

abc: 8.7314 8.7314 8.7314
angles: 19.35 19.35 19.35
Element x y z (fractional)
1 Cu 0.0000 0.0000 0.0000
2 Mo 0.2509 0.2509 0.2509
3 Mo 0.7491 0.7491 0.7491
4 Br 0.5000 0.5000 0.5000

On energetic grounds, Q is preferred over the next structure by 24.4 kJ/mol of atoms.

P | Here is crystalline CuMo2Br at its relaxed geometry from Alexandria. Energies are from PBE.

Computed properties:
total magnetization = 0.00 μB/cell
space group = R3m

abc: 9.2618 9.2618 9.2618
angles: 18.33 18.33 18.33
Element x y z (fractional)
1 Cu 0.0000 0.0000 0.0000
2 Mo 0.4924 0.4924 0.4924
3 Mo 0.7415 0.7415 0.7415
4 Br 0.2322 0.2322 0.2322

Q | Here is crystalline CuMo2Br at its relaxed geometry from Alexandria. Energies are from PBE.

Computed properties:
total magnetization = 0.00 μB/cell
space group = P4mm

abc: 3.2739 3.2739 6.4005
angles: 90.00 90.00 90.00
Element x y z (fractional)
1 Cu 0.0000 0.0000 0.0000
2 Mo 0.0000 0.0000 0.4159
3 Mo 0.5000 0.5000 0.2155
4 Br 0.5000 0.5000 0.7610

R | Here is crystalline CuMo2Br at its relaxed geometry from Alexandria. Energies are from PBE.

Computed properties:
total magnetization = 0.00 μB/cell
space group = P4/mmm

abc: 3.2144 3.2144 6.5869
angles: 90.00 90.00 90.00
Element x y z (fractional)
1 Cu 0.0000 0.0000 0.0000
2 Mo 0.5000 0.5000 0.1863
3 Mo 0.5000 0.5000 0.8137
4 Br 0.0000 0.0000 0.5000

S | Here is crystalline CuMo2Br at its relaxed geometry from Alexandria. Energies are from PBE.

Computed properties:
total magnetization = 0.00 μB/cell
space group = Cmm2

abc: 2.9734 2.9734 8.5859
angles: 90.00 90.00 113.33
Element x y z (fractional)
1 Cu 0.0000 0.0000 0.0000
2 Mo 0.0000 0.0000 0.4591
3 Mo 0.5000 0.5000 0.2376
4 Br 0.5000 0.5000 0.7330

On energetic grounds, Q is preferred over the next structure by 3.2 kJ/mol of atoms.

P | Here is crystalline CuMo2Br at its relaxed geometry from Alexandria. Energies are from PBE.

Computed properties:
total magnetization = 0.00 μB/cell
space group = Cmmm

abc: 2.8086 2.8086 8.7315
angles: 90.00 90.00 108.62
Element x y z (fractional)
1 Cu 0.0000 0.0000 0.0000
2 Mo 0.5000 0.5000 0.2369
3 Mo 0.5000 0.5000 0.7631
4 Br 0.0000 0.0000 0.5000

Q | Here is crystalline CuMo2Br at its relaxed geometry from Alexandria. Energies are from PBE.

Computed properties:
total magnetization = 0.00 μB/cell
space group = Imm2

abc: 6.4909 6.4909 6.4909
angles: 151.97 141.11 48.62
Element x y z (fractional)
1 Cu 0.0000 0.0000 0.0000
2 Mo 0.3684 0.8684 0.5000
3 Mo 0.5192 0.5192 0.0000
4 Br 0.7360 0.2360 0.5000

On energetic grounds, Q is preferred over the next structure by 25.4 kJ/mol of atoms.

P | Here is crystalline CuMo2Br at its relaxed geometry from Alexandria. Energies are from PBE.

Computed properties:
total magnetization = 0.00 μB/cell
space group = P2/m

abc: 3.2545 4.6261 5.2608
angles: 90.00 102.22 90.00
Element x y z (fractional)
1 Cu 0.0000 0.0000 0.0000
2 Mo 0.3232 0.5000 0.1685
3 Mo 0.6768 0.5000 0.8315
4 Br 0.5000 0.0000 0.5000

Q | Here is crystalline CuMo2Br at its relaxed geometry from Alexandria. Energies are from PBE.

Computed properties:
total magnetization = 0.00 μB/cell
space group = Cmmm

abc: 4.9353 4.9353 2.8895
angles: 90.00 90.00 114.70
Element x y z (fractional)
1 Cu 0.0000 0.0000 0.0000
2 Mo 0.0000 0.5000 0.5000
3 Mo 0.5000 0.0000 0.5000
4 Br 0.5000 0.5000 0.0000

R | Here is crystalline CuMo2Br at its relaxed geometry from Alexandria. Energies are from PBE.

Computed properties:
total magnetization = 0.00 μB/cell
space group = I4/mmm

abc: 5.3505 5.3505 5.3505
angles: 138.77 138.77 59.73
Element x y z (fractional)
1 Cu 0.0000 0.0000 0.0000
2 Mo 0.2500 0.7500 0.5000
3 Mo 0.7500 0.2500 0.5000
4 Br 0.5000 0.5000 0.0000

S | Here is crystalline CuMo2Br at its relaxed geometry from Alexandria. Energies are from PBE.

Computed properties:
total magnetization = 0.00 μB/cell
space group = Immm

abc: 5.4589 5.4589 5.4589
angles: 147.54 131.38 59.69
Element x y z (fractional)
1 Cu 0.0000 0.0000 0.0000
2 Mo 0.2620 0.7620 0.5000
3 Mo 0.7380 0.2380 0.5000
4 Br 0.5000 0.5000 0.0000

On energetic grounds, P is preferred over the next structure by 18.6 kJ/mol of atoms.

P | Here is crystalline CuMo2Br at its relaxed geometry from Alexandria. Energies are from PBE.

Computed properties:
total magnetization = 0.00 μB/cell
space group = I-4m2

abc: 4.4998 4.4998 4.4998
angles: 120.10 120.10 89.82
Element x y z (fractional)
1 Cu 0.0000 0.0000 0.0000
2 Mo 0.2500 0.7500 0.5000
3 Mo 0.5000 0.5000 0.0000
4 Br 0.7500 0.2500 0.5000

Q | Here is crystalline CuMo2Br at its relaxed geometry from Alexandria. Energies are from PBE.

Computed properties:
total magnetization = 0.00 μB/cell
space group = Pmmm

abc: 3.0940 4.4880 4.6776
angles: 90.00 90.00 90.00
Element x y z (fractional)
1 Cu 0.0000 0.0000 0.0000
2 Mo 0.0000 0.5000 0.5000
3 Mo 0.5000 0.0000 0.5000
4 Br 0.5000 0.5000 0.0000

On energetic grounds, Q is preferred over the next structure by 6.1 kJ/mol of atoms.

P | Here is crystalline CuMo2Br at its relaxed geometry from Alexandria. Energies are from PBE.

Computed properties:
total magnetization = 0.00 μB/cell
space group = P4/mmm

abc: 4.6066 4.6066 2.8859
angles: 90.00 90.00 90.00
Element x y z (fractional)
1 Cu 0.0000 0.0000 0.0000
2 Mo 0.0000 0.5000 0.5000
3 Mo 0.5000 0.0000 0.5000
4 Br 0.5000 0.5000 0.0000

Q | Here is crystalline CuMo2Br at its relaxed geometry from Alexandria. Energies are from PBE.

Computed properties:
total magnetization = 0.00 μB/cell
space group = Fm-3m

abc: 4.4063 4.4063 4.4063
angles: 60.00 60.00 60.00
Element x y z (fractional)
1 Cu 0.0000 0.0000 0.0000
2 Mo 0.2500 0.2500 0.2500
3 Mo 0.7500 0.7500 0.7500
4 Br 0.5000 0.5000 0.5000

On energetic grounds, P is preferred over the next structure by 3.8 kJ/mol of atoms.

P | Here is crystalline CuMoBr at its relaxed geometry from Alexandria. Energies are from PBE.

Computed properties:
total magnetization = 0.00 μB/cell
space group = P-6m2

abc: 4.4359 4.4359 2.9114
angles: 90.00 90.00 120.00
Element x y z (fractional)
1 Cu 0.0000 0.0000 0.0000
2 Mo 0.6667 0.3333 0.5000
3 Br 0.3333 0.6667 0.5000

Q | Here is crystalline CuMoBr at its relaxed geometry from Alexandria. Energies are from PBE.

Computed properties:
total magnetization = 0.00 μB/cell
space group = F-43m

abc: 4.2759 4.2759 4.2759
angles: 60.00 60.00 60.00
Element x y z (fractional)
1 Cu 0.0000 0.0000 0.0000
2 Mo 0.7500 0.7500 0.7500
3 Br 0.5000 0.5000 0.5000

On energetic grounds, P is preferred over the next structure by 12.2 kJ/mol of atoms.

P | Here is crystalline CuMo3Br at its relaxed geometry from Alexandria. Energies are from PBE.

Computed properties:
total magnetization = 0.00 μB/cell
space group = Pm-3m

abc: 4.6112 4.6112 4.6112
angles: 90.00 90.00 90.00
Element x y z (fractional)
1 Cu 0.0000 0.0000 0.0000
2 Mo 0.0000 0.0000 0.5000
3 Mo 0.0000 0.5000 0.0000
4 Mo 0.5000 0.0000 0.0000
5 Br 0.5000 0.5000 0.5000

Q | Here is crystalline CuMo3Br at its relaxed geometry from Alexandria. Energies are from PBE.

Computed properties:
total magnetization = 0.00 μB/cell
space group = Pm-3m

abc: 4.5805 4.5805 4.5805
angles: 90.00 90.00 90.00
Element x y z (fractional)
1 Cu 0.0000 0.0000 0.0000
2 Mo 0.0000 0.5000 0.5000
3 Mo 0.5000 0.0000 0.5000
4 Mo 0.5000 0.5000 0.0000
5 Br 0.5000 0.5000 0.5000

On energetic grounds, Q is preferred over the next structure by 18.9 kJ/mol of atoms.

P | Here is crystalline CuBr3N at its relaxed geometry from Alexandria. Energies are from PBE.

Computed properties:
total magnetization = 0.00 μB/cell
space group = Pm-3m

abc: 4.9168 4.9168 4.9168
angles: 90.00 90.00 90.00
Element x y z (fractional)
1 Cu 0.0000 0.0000 0.0000
2 Br 0.0000 0.0000 0.5000
3 Br 0.0000 0.5000 0.0000
4 Br 0.5000 0.0000 0.0000
5 N 0.5000 0.5000 0.5000

Q | Here is crystalline CuBr3N at its relaxed geometry from Alexandria. Energies are from PBE.

Computed properties:
total magnetization = 0.00 μB/cell
space group = Pm-3m

abc: 4.6783 4.6783 4.6783
angles: 90.00 90.00 90.00
Element x y z (fractional)
1 Cu 0.0000 0.0000 0.0000
2 Br 0.0000 0.5000 0.5000
3 Br 0.5000 0.0000 0.5000
4 Br 0.5000 0.5000 0.0000
5 N 0.5000 0.5000 0.5000

On energetic grounds, Q is preferred over the next structure by 32.7 kJ/mol of atoms.

P | Here is crystalline CuBr2N2 at its relaxed geometry from Alexandria. Energies are from PBE.

Computed properties:
total magnetization = 4.83 μB/cell
space group = C2/m

abc: 5.3129 5.3129 4.1215
angles: 93.99 93.99 92.78
Element x y z (fractional)
1 Cu 0.0000 0.0000 0.0000
2 Br 0.2561 0.2561 0.7102
3 Br 0.7439 0.7439 0.2898
4 N 0.2444 0.7556 0.0000
5 N 0.7556 0.2444 0.0000

Q | Here is crystalline CuBr2N2 at its relaxed geometry from Alexandria. Energies are from PBE.

Computed properties:
total magnetization = 0.77 μB/cell
space group = C2/m

abc: 4.2389 4.2389 10.2799
angles: 94.55 94.55 48.84
Element x y z (fractional)
1 Cu 0.0000 0.0000 0.0000
2 Br 0.3809 0.3809 0.8555
3 Br 0.6191 0.6191 0.1445
4 N 0.0587 0.0587 0.5355
5 N 0.9413 0.9413 0.4645

On energetic grounds, Q is preferred over the next structure by 178.5 kJ/mol of atoms.

P | Here is crystalline CuBr3N2 at its relaxed geometry from Alexandria. Energies are from PBE.

Computed properties:
total magnetization = 0.00 μB/cell
space group = Pnma

abc: 11.6665 3.3518 12.9666
angles: 90.00 90.00 90.00
Element x y z (fractional)
1 Cu 0.2498 0.2500 0.1001
2 Cu 0.2502 0.7500 0.6001
3 Cu 0.7498 0.2500 0.3999
4 Cu 0.7502 0.7500 0.8999
5 Br 0.0553 0.2500 0.1378
6 Br 0.0555 0.7500 0.6364
7 Br 0.2492 0.7500 0.3811
8 Br 0.2508 0.2500 0.8811
9 Br 0.4445 0.2500 0.1364
10 Br 0.4447 0.7500 0.6378
11 Br 0.5553 0.2500 0.3622
12 Br 0.5555 0.7500 0.8636
13 Br 0.7492 0.7500 0.1189
14 Br 0.7508 0.2500 0.6189
15 Br 0.9445 0.2500 0.3636
16 Br 0.9447 0.7500 0.8622
17 N 0.9998 0.2500 0.7496
18 N 0.0002 0.7500 0.2504
19 N 0.2469 0.7500 0.9588
20 N 0.2531 0.2500 0.4588
21 N 0.4998 0.2500 0.7504
22 N 0.5002 0.7500 0.2496
23 N 0.7469 0.7500 0.5412
24 N 0.7531 0.2500 0.0412

Q | Here is crystalline CuBr3N2 at its relaxed geometry from Alexandria. Energies are from PBE.

Computed properties:
total magnetization = 0.00 μB/cell
space group = P-1

abc: 3.5881 9.2470 9.4621
angles: 101.97 94.42 98.56
Element x y z (fractional)
1 Cu 0.0356 0.2345 0.2130
2 Cu 0.9644 0.7655 0.7870
3 Br 0.1793 0.1966 0.9027
4 Br 0.2488 0.4598 0.7418
5 Br 0.4440 0.8411 0.5779
6 Br 0.5560 0.1589 0.4221
7 Br 0.7512 0.5402 0.2582
8 Br 0.8207 0.8034 0.0973
9 N 0.1489 0.2518 0.7221
10 N 0.4658 0.7814 0.7625
11 N 0.5342 0.2186 0.2375
12 N 0.8511 0.7482 0.2779

On energetic grounds, Q is preferred over the next structure by 43.4 kJ/mol of atoms.

P | Here is crystalline Cu3BrN at its relaxed geometry from Alexandria. Energies are from PBE.

Computed properties:
total magnetization = 0.00 μB/cell
space group = Pm-3m

abc: 4.5389 4.5389 4.5389
angles: 90.00 90.00 90.00
Element x y z (fractional)
1 Cu 0.0000 0.0000 0.5000
2 Cu 0.0000 0.5000 0.0000
3 Cu 0.5000 0.0000 0.0000
4 Br 0.0000 0.0000 0.0000
5 N 0.5000 0.5000 0.5000

Q | Here is crystalline Cu3BrN at its relaxed geometry from Alexandria. Energies are from PBE.

Computed properties:
total magnetization = 0.00 μB/cell
space group = Pm-3m

abc: 4.0678 4.0678 4.0678
angles: 90.00 90.00 90.00
Element x y z (fractional)
1 Cu 0.0000 0.0000 0.5000
2 Cu 0.0000 0.5000 0.0000
3 Cu 0.5000 0.0000 0.0000
4 Br 0.5000 0.5000 0.5000
5 N 0.0000 0.0000 0.0000

On energetic grounds, Q is preferred over the next structure by 141.3 kJ/mol of atoms.